Pr4Dy5In | PBE-GGA | relaxed

a b c (Å): 5.862 8.186 8.186
angles (deg): 82.63 69.02 69.02
Atoms (fractional coordinates):
Pr1 0.770 0.690 0.690
Pr2 0.459 0.690 0.310
Pr3 0.149 0.310 0.310
Pr4 0.459 0.310 0.690
Dy1 0.772 0.368 0.000
Dy2 0.666 0.000 0.000
Dy3 0.140 0.000 0.632
Dy4 0.140 0.632 0.000
Dy5 0.772 0.000 0.368
In1 0.182 0.000 0.000

Values from the calculation:
volume	342.4	Å³ per cell
E_tot	-4.42	eV/atom



Pr2Dy2In | PBE-GGA | relaxed

a b c (Å): 4.420 4.420 9.291
angles (deg): 103.76 103.76 90.00
Atoms (fractional coordinates):
Dy1 0.586 0.586 0.172
Dy2 0.414 0.414 0.828
Pr1 0.250 0.750 0.500
Pr2 0.750 0.250 0.500
In1 0.000 0.000 0.000

Values from the calculation:
volume	170.9	Å³ per cell
E_tot	-3.98	eV/atom



Pr3Dy2In2 | PBE-GGA | relaxed

a b c (Å): 3.549 8.079 8.788
angles (deg): 117.70 101.65 90.00
Atoms (fractional coordinates):
In1 0.567 0.901 0.134
In2 0.433 0.099 0.866
Dy1 0.874 0.718 0.747
Dy2 0.126 0.282 0.253
Pr1 0.790 0.215 0.579
Pr2 0.210 0.785 0.421
Pr3 0.000 0.500 0.000

Values from the calculation:
volume	217.2	Å³ per cell
E_tot	-4.27	eV/atom



PrDy2In2 | PBE-GGA | relaxed

a b c (Å): 4.640 4.640 14.930
angles (deg): 98.94 98.94 90.00
Atoms (fractional coordinates):
In1 0.175 0.175 0.351
In2 0.500 0.000 0.000
In3 0.000 0.500 0.000
In4 0.825 0.825 0.649
Dy1 0.750 0.250 0.500
Dy2 0.250 0.750 0.500
Dy3 0.073 0.073 0.146
Dy4 0.927 0.927 0.854
Pr1 0.367 0.367 0.733
Pr2 0.633 0.633 0.267

Values from the calculation:
volume	313.6	Å³ per cell
E_tot	-4.06	eV/atom



Ordered energy of formation results: 0.065; 0.325; -0.127; -0.164; unit eV/atom.